# 1
Computed, not measured: a geometry-optimized PrMg2GaCu2 structure at the GGA-PBE level of DFT.

Cell and atoms, written as extended XYZ:
```
12
Lattice="4.943 0.000 0.000 0.000 4.943 0.000 0.000 0.000 10.793" Properties=species:S:1:pos:R:3 pbc="T T T"
Pr 0.000 0.000 0.000
Pr 2.472 2.472 5.397
Mg 0.000 2.472 2.698
Mg 0.000 2.472 8.095
Mg 2.472 0.000 2.698
Mg 2.472 0.000 8.095
Ga 0.000 0.000 5.397
Ga 2.472 2.472 0.000
Cu 0.000 0.000 3.084
Cu 0.000 0.000 7.709
Cu 2.472 2.472 2.313
Cu 2.472 2.472 8.481
```

Output
uncorrected energy: -19.4 eV per formula unit
total magnetization: 0.00 μB/f.u.
energy of formation from the pure elements: -0.03 eV per atom

***

# 2
Computed, not measured: a geometry-optimized NaZr structure at the GGA-PBE level of DFT.

Cell and atoms, written as extended XYZ:
```
16
Lattice="12.493 0.000 0.000 0.000 12.493 0.000 0.000 0.000 2.906" Properties=species:S:1:pos:R:3 pbc="T T T"
Na 1.370 8.254 0.000
Na 2.008 4.876 1.453
Na 4.239 1.370 0.000
Na 4.876 10.485 1.453
Na 7.617 2.008 1.453
Na 8.254 11.122 0.000
Na 10.485 7.617 1.453
Na 11.122 4.239 0.000
Zr 0.977 1.801 0.000
Zr 1.801 11.516 0.000
Zr 4.446 7.223 1.453
Zr 5.270 4.446 1.453
Zr 7.223 8.047 1.453
Zr 8.047 5.270 1.453
Zr 10.692 0.977 0.000
Zr 11.516 10.692 0.000
```

Output
uncorrected energy: -8.4 eV per formula unit
total magnetization: 0.00 μB/f.u.
energy of formation from the pure elements: 0.71 eV per atom

***

# 3
Computed, not measured: a geometry-optimized Pm2Pr2Ho structure at the GGA-PBE level of DFT.

Cell and atoms, written as extended XYZ:
```
20
Lattice="9.450 0.000 0.000 0.000 6.386 0.000 -4.992 0.000 11.516" Properties=species:S:1:pos:R:3 pbc="T T T"
Pm 0.931 1.059 1.167
Pm -1.565 2.134 6.925
Pm -2.598 4.269 11.508
Pm -0.101 5.311 5.750
Pm 4.559 1.076 5.766
Pm 7.056 2.118 0.008
Pm 6.023 4.252 4.591
Pm 3.527 5.328 10.349
Pr -0.535 4.258 2.282
Pr -3.031 5.321 8.040
Pr 0.259 4.273 9.240
Pr 2.755 5.307 3.483
Pr 1.703 1.080 8.033
Pr 4.199 2.114 2.275
Pr 7.489 1.065 3.476
Pr 4.993 2.128 9.234
Ho -1.178 1.045 10.371
Ho 1.318 2.148 4.613
Ho 3.140 4.238 6.902
Ho 5.636 5.341 1.144
```

Output
uncorrected energy: -23.5 eV per formula unit
total magnetization: 0.00 μB/f.u.
energy of formation from the pure elements: 0.03 eV per atom

***

# 4
Computed, not measured: a geometry-optimized NbMo2HRu structure at the GGA-PBE level of DFT.

Cell and atoms, written as extended XYZ:
```
5
Lattice="3.985 0.000 0.000 0.000 3.985 0.000 0.000 0.000 4.172" Properties=species:S:1:pos:R:3 pbc="T T T"
Nb 0.000 0.000 0.000
Mo 0.000 1.993 2.086
Mo 1.993 0.000 2.086
H 0.000 0.000 2.086
Ru 1.993 1.993 0.000
```

Output
uncorrected energy: -44.0 eV per formula unit
total magnetization: 0.00 μB/f.u.

***

# 5
Computed, not measured: a geometry-optimized Rb2SeI5 structure at the GGA-PBE level of DFT.

Cell and atoms, written as extended XYZ:
```
16
Lattice="8.661 0.000 0.000 0.000 8.661 0.000 0.000 0.000 10.281" Properties=species:S:1:pos:R:3 pbc="T T T"
Rb 0.000 4.331 0.000
Rb 0.000 4.331 5.140
Rb 4.331 0.000 0.000
Rb 4.331 0.000 5.140
Se 0.000 0.000 2.722
Se 4.331 4.331 7.863
I 0.000 0.000 5.810
I 1.999 1.999 2.517
I 1.999 6.662 2.517
I 2.331 2.331 7.657
I 2.331 6.330 7.657
I 4.331 4.331 0.670
I 6.330 2.331 7.657
I 6.330 6.330 7.657
I 6.662 1.999 2.517
I 6.662 6.662 2.517
```

Output
uncorrected energy: -18.6 eV per formula unit
total magnetization: 1.04 μB/f.u.

***

# 6
Computed, not measured: a geometry-optimized TmCo4B2 structure at the GGA-PBE level of DFT.

Cell and atoms, written as extended XYZ:
```
14
Lattice="8.268 0.000 0.000 0.000 4.973 0.000 -2.410 0.000 3.767" Properties=species:S:1:pos:R:3 pbc="T T T"
Tm 0.000 0.000 0.000
Tm 4.134 2.486 0.000
Co -0.207 1.214 2.524
Co -0.207 3.758 2.524
Co 1.931 1.272 1.243
Co 1.931 3.701 1.243
Co 3.927 1.272 2.524
Co 3.927 3.701 2.524
Co 6.065 1.214 1.243
Co 6.065 3.758 1.243
B -0.487 2.486 0.777
B 2.211 0.000 2.990
B 3.647 0.000 0.777
B 6.345 2.486 2.990
```

Output
uncorrected energy: -45.8 eV per formula unit
total magnetization: 3.87 μB/f.u.
energy of formation from the pure elements: 0.06 eV per atom

***

Question: Look up the total magnetization of the first one.
Answer: 0.00 μB/f.u.